Entry 1:
# KVSbTe2

An optimized crystal structure of KVSbTe2 (GGA-PBE, Alexandria via LeMat-Bulk).

Cell: 5.916 5.916 5.685 Å, 90.00 90.00 90.00°
Atoms (fractional coordinates):
V: 0.500 0.500 0.500
Sb: 0.000 0.000 0.500
Te: 0.000 0.500 0.000
Te: 0.500 0.000 0.000
K: 0.000 0.000 0.000

- DOS(E_F) (states/eV per cell) = 10.1
- symmetry = P4/mmm
- uncorrected formation energy (eV per atom) = 1.38
- spin magnetization (Bohr magnetons per cell) = 2.697
- V (Å³/atom) = 39.8
- energy above the lowest structure with this stoichiometry (eV/f.u.) = 7.66

=====

Entry 2:
# ErZnBi

An optimized crystal structure of ErZnBi (GGA-PBE, Alexandria via LeMat-Bulk).

Cell: 4.374 4.486 4.486 Å, 120.00 90.00 90.00°
Atoms (fractional coordinates):
Zn: 0.995 0.000 0.000
Bi: 0.725 0.667 0.333
Er: 0.281 0.333 0.667

- DOS(E_F) (states/eV per cell) = 0.6
- symmetry = P3m1
- spin magnetization (Bohr magnetons per cell) = 0.000
- formation energy from the elements (eV per formula unit) = -1.083
- V (Å³/atom) = 25.4

=====

Entry 3:
# AcPu2Au6

An optimized crystal structure of AcPu2Au6 (GGA-PBE, Alexandria via LeMat-Bulk).

Cell: 3.771 8.572 8.572 Å, 55.30 77.29 77.29°
Atoms (fractional coordinates):
Au: 0.678 0.009 0.636
Au: 0.322 0.364 0.991
Au: 0.678 0.636 0.009
Pu: 0.859 0.641 0.641
Au: 0.322 0.991 0.364
Au: 0.500 0.677 0.323
Pu: 0.141 0.359 0.359
Au: 0.500 0.323 0.677
Ac: 0.000 0.000 0.000

- DOS(E_F) (states/eV per cell) = 28.4
- symmetry = Immm
- spin magnetization (Bohr magnetons per cell) = 11.451
- formation energy from the elements (eV per formula unit) = -4.647
- V (Å³/atom) = 24.5

=====

Entry 4:
# LiDy2BiO6

An optimized crystal structure of LiDy2BiO6 (GGA-PBE, Alexandria via LeMat-Bulk).

Cell: 5.677 5.677 6.074 Å, 62.14 62.14 60.00°
Atoms (fractional coordinates):
O: 0.122 0.422 0.756
O: 0.222 0.943 0.236
O: 0.943 0.599 0.236
Dy: 0.525 0.525 0.424
Li: 0.784 0.784 0.647
Dy: 0.023 0.023 0.930
O: 0.700 0.122 0.756
O: 0.599 0.222 0.236
Bi: 0.320 0.320 0.041
O: 0.422 0.700 0.756

- DOS(E_F) (states/eV per cell) = 0.0
- symmetry = R3
- uncorrected formation energy (eV per atom) = -2.37
- spin magnetization (Bohr magnetons per cell) = 0.000
- V (Å³/atom) = 14.3

=====

Record-wise calculated total energy values, in eV per atom: -2.745 -3.600 -6.343 -6.841